Compound: TlAg2Se
Source: Alexandria via LeMat-Bulk
Functional: PBE
Structure: relaxed

The structure belongs to space group P4/mmm (No. 123); the cell edges are 3.6401, 3.6401 and 6.7013 Å and the angles 90.00°, 90.00° and 90.00°. Symmetry generates all atoms from Tl at (0.0000, 0.0000, 0.0000), Ag at (0.5000, 0.5000, 0.2832) and Se at (0.0000, 0.0000, 0.5000).

The calculation puts the density at 9.3 g/cm3. Its magnetization is 0.000 Bohr magnetons per cell. As for the raw formation energy: 0.09 eV per atom. The value obtained for the density of states at the Fermi level is 1.379 states/eV/cell. The value obtained for the uncorrected energy is -11.2 eV for the cell shown.

---

Compound: Tl2AgSe
Source: Alexandria via LeMat-Bulk
Functional: PBE
Structure: relaxed

The structure belongs to space group P4/mmm (No. 123); the cell edges are 4.7435, 4.7435 and 4.6277 Å and the angles 90.00°, 90.00° and 90.00°. Symmetry generates all atoms from Tl at (0.0000, 0.5000, 0.0000), Ag at (0.0000, 0.0000, 0.5000) and Se at (0.5000, 0.5000, 0.5000).

The calculation puts the density at 9.5 g/cm3. Its magnetization is 0.000 Bohr magnetons per cell. As for the raw formation energy: -0.03 eV per atom. The value obtained for the density of states at the Fermi level is 1.557 states/eV/cell. The value obtained for the uncorrected energy is -11.2 eV for the cell shown.

---

Compound: TlAg2Se
Source: Alexandria via LeMat-Bulk
Functional: PBE
Structure: relaxed

The structure belongs to space group P2/m (No. 10); the cell edges are 4.1556, 4.3932 and 5.5225 Å and the angles 90.00°, 92.36° and 90.00°. Symmetry generates all atoms from Tl at (0.0000, 0.0000, 0.0000), Ag at (0.3815, 0.5000, 0.7571) and Se at (0.5000, 0.0000, 0.5000).

The calculation puts the density at 8.2 g/cm3. Its magnetization is 0.000 Bohr magnetons per cell. As for the raw formation energy: 0.04 eV per atom. The value obtained for the density of states at the Fermi level is 0.897 states/eV/cell. The value obtained for the uncorrected energy is -11.4 eV for the cell shown.